1.
Computed, not measured: DyErCoGe2 after structural relaxation at the PBE level of DFT.

a = 5.6045 Å, b = 5.6045 Å, c = 10.1644 Å
α = 115.64°, β = 115.64°, γ = 43.80°
Atoms (fractional coordinates):
Dy: 0.0047 0.0047 0.3321
Dy: 0.9953 0.9953 0.6679
Er: 0.1867 0.1867 0.1145
Er: 0.8133 0.8133 0.8855
Co: 0.2760 0.2760 0.6526
Co: 0.7240 0.7240 0.3474
Ge: 0.3431 0.3431 0.4370
Ge: 0.4843 0.4843 0.1220
Ge: 0.5157 0.5157 0.8780
Ge: 0.6569 0.6569 0.5630

Computed properties:
E: -5.86 eV per atom
M_tot: 0.0 μB/f.u.
calculated density: 9.07 g cm⁻³
space group: C2/m



2.
Computed, not measured: Nb3SnS6 after structural relaxation at the PBE level of DFT.

a = 5.8272 Å, b = 5.8272 Å, c = 14.5006 Å
α = 90.00°, β = 90.00°, γ = 120.00°
Atoms (fractional coordinates):
Nb: 0.0000 0.0000 0.0000
Nb: 0.0000 0.0000 0.5000
Nb: 0.3333 0.6667 0.0008
Nb: 0.3333 0.6667 0.4992
Nb: 0.6667 0.3333 0.5008
Nb: 0.6667 0.3333 0.9992
Sn: 0.3333 0.6667 0.7500
Sn: 0.6667 0.3333 0.2500
S: 0.0012 0.3326 0.1080
S: 0.0012 0.6685 0.3920
S: 0.3315 0.3326 0.3920
S: 0.3315 0.9988 0.1080
S: 0.3326 0.0012 0.8920
S: 0.3326 0.3315 0.6080
S: 0.6674 0.6685 0.1080
S: 0.6674 0.9988 0.3920
S: 0.6685 0.0012 0.6080
S: 0.6685 0.6674 0.8920
S: 0.9988 0.3315 0.8920
S: 0.9988 0.6674 0.6080

Computed properties:
E: -6.94 eV per atom
M_tot: 0.0 μB/f.u.
calculated density: 4.59 g cm⁻³
space group: P6_322



3.
Computed, not measured: AgI2 after structural relaxation at the PBE level of DFT.

a = 4.1936 Å, b = 4.1936 Å, c = 12.8265 Å
α = 90.00°, β = 90.00°, γ = 90.00°
Atoms (fractional coordinates):
Ag: 0.2500 0.7500 0.2500
Ag: 0.7500 0.2500 0.7500
I: 0.2500 0.2500 0.1091
I: 0.2500 0.2500 0.6091
I: 0.7500 0.7500 0.3909
I: 0.7500 0.7500 0.8909

Computed properties:
E: -2.01 eV per atom
calculated density: 5.33 g cm⁻³
space group: P4_2/nmc